1.
# KCuRu

A relaxed KCuRu crystal (PBEsol, Alexandria via LeMat-Bulk).

Cell lengths 3.160, 3.160, 12.022 Å; angles 90.00, 90.00, 90.00 degrees
Space group I4mm (No. 107)
One atom of each set of equivalent atoms:
K: 0.000 0.000 0.000 x2
Cu: 0.000 0.000 0.710 x2
Ru: 0.000 0.000 0.284 x2

Fermi-level density of states	6.961	states/eV/cell
energy relative to the elements	0.938	eV/atom


2.
# KCu2Ru

A relaxed KCu2Ru crystal (PBEsol, Alexandria via LeMat-Bulk).

Cell lengths 2.525, 4.925, 5.132 Å; angles 90.00, 90.00, 90.00 degrees
Space group Pmmm (No. 47)
One atom of each set of equivalent atoms:
K: 0.000 0.000 0.000 x1
Cu: 0.000 0.500 0.500 x1
Cu: 0.500 0.500 0.000 x1
Ru: 0.500 0.000 0.500 x1

Fermi-level density of states	3.225	states/eV/cell
energy relative to the elements	1.151	eV/atom


3.
# KCu7S4

A relaxed KCu7S4 crystal (PBEsol, Alexandria via LeMat-Bulk).

Cell lengths 3.758, 7.218, 7.311 Å; angles 85.73, 75.22, 75.44 degrees
Space group P1 (No. 1)
One atom of each set of equivalent atoms:
K: 0.000 0.000 0.000 x1
Cu: 0.030 0.326 0.605 x1
Cu: 0.269 0.444 0.081 x1
Cu: 0.287 0.916 0.485 x1
Cu: 0.411 0.591 0.636 x1
Cu: 0.666 0.376 0.333 x1
Cu: 0.805 0.581 0.875 x1
Cu: 0.990 0.652 0.382 x1
S: 0.257 0.188 0.320 x1
S: 0.431 0.313 0.796 x1
S: 0.569 0.668 0.180 x1
S: 0.751 0.824 0.654 x1

Fermi-level density of states	0.302	states/eV/cell
raw formation energy	-371	kJ/mol of formula units


4.
# K2CuS

A relaxed K2CuS crystal (PBEsol, Alexandria via LeMat-Bulk).

Cell lengths 7.408, 7.408, 7.408 Å; angles 90.00, 90.00, 90.00 degrees
Space group Fm-3m (No. 225)
One atom of each set of equivalent atoms:
K: 0.250 0.250 0.250 x8
Cu: 0.000 0.000 0.000 x4
S: 0.000 0.000 0.500 x4

Fermi-level density of states	7.943	states/eV/cell
raw formation energy	-24	kJ/mol of formula units


5.
# KCuS

A relaxed KCuS crystal (PBEsol, Alexandria via LeMat-Bulk).

Cell lengths 10.659, 5.193, 6.184 Å; angles 90.00, 90.00, 90.00 degrees
Space group Pnma (No. 62)
One atom of each set of equivalent atoms:
K: 0.154 0.250 0.018 x4
Cu: 0.000 0.000 0.500 x4
S: 0.090 0.750 0.275 x4

Fermi-level density of states	0.000	states/eV/cell
raw formation energy	-208	kJ/mol of formula units


6.
# K3Cu4S4

A relaxed K3Cu4S4 crystal (PBEsol, Alexandria via LeMat-Bulk).

Cell lengths 7.796, 15.386, 3.741 Å; angles 90.00, 90.00, 90.00 degrees
Space group Pbam (No. 55)
One atom of each set of equivalent atoms:
K: 0.000 0.000 0.000 x2
K: 0.026 0.234 0.500 x4
Cu: 0.075 0.420 0.000 x4
Cu: 0.148 0.555 0.500 x4
S: 0.196 0.637 0.000 x4
S: 0.233 0.413 0.500 x4

Fermi-level density of states	6.641	states/eV/cell
raw formation energy	-737	kJ/mol of formula units


7.
# KCu2SbS3

A relaxed KCu2SbS3 crystal (PBEsol, Alexandria via LeMat-Bulk).

Cell lengths 6.315, 8.984, 10.336 Å; angles 90.50, 91.02, 91.34 degrees
Space group P-1 (No. 2)
One atom of each set of equivalent atoms:
K: 0.195 0.425 0.132 x2
K: 0.297 0.568 0.629 x2
Cu: 0.005 0.886 0.672 x2
Cu: 0.082 0.834 0.047 x2
Cu: 0.426 0.159 0.537 x2
Cu: 0.486 0.262 0.863 x2
Sb: 0.034 0.822 0.356 x2
Sb: 0.475 0.958 0.854 x2
S: 0.132 0.073 0.132 x2
S: 0.138 0.311 0.833 x2
S: 0.151 0.291 0.454 x2
S: 0.345 0.713 0.943 x2
S: 0.353 0.925 0.625 x2
S: 0.371 0.686 0.330 x2

raw formation energy	-343	kJ/mol of formula units


8.
# K2ThCu2S4

A relaxed K2ThCu2S4 crystal (PBEsol, Alexandria via LeMat-Bulk).

Cell lengths 14.343, 3.958, 7.520 Å; angles 90.00, 109.88, 90.00 degrees
Space group C2/m (No. 12)
One atom of each set of equivalent atoms:
K: 0.138 0.000 0.066 x4
Th: 0.000 0.000 0.500 x2
Cu: 0.180 0.500 0.488 x4
S: 0.023 0.500 0.260 x4
S: 0.203 0.000 0.674 x4

raw formation energy	-1082	kJ/mol of formula units


9.
# KThCuS3

A relaxed KThCuS3 crystal (PBEsol, Alexandria via LeMat-Bulk).

Cell lengths 4.025, 13.782, 10.466 Å; angles 90.00, 90.00, 90.00 degrees
Space group Cmcm (No. 63)
One atom of each set of equivalent atoms:
K: 0.000 0.245 0.250 x4
Th: 0.000 0.500 0.000 x4
Cu: 0.000 0.029 0.750 x4
S: 0.000 0.126 0.571 x8
S: 0.000 0.434 0.750 x4

Fermi-level density of states	0.000	states/eV/cell
raw formation energy	-858	kJ/mol of formula units


10.
# KCuSb

A relaxed KCuSb crystal (PBEsol, Alexandria via LeMat-Bulk).

Cell lengths 6.729, 6.729, 6.729 Å; angles 90.00, 90.00, 90.00 degrees
Space group F-43m (No. 216)
One atom of each set of equivalent atoms:
K: 0.000 0.000 0.000 x4
Cu: 0.250 0.250 0.750 x4
Sb: 0.000 0.000 0.500 x4

ΔE to the lowest computed polymorph	350	meV/atom
Fermi-level density of states	13.373	states/eV/cell
raw formation energy	60	kJ/mol of formula units


11.
# KCuSb2

A relaxed KCuSb2 crystal (PBEsol, Alexandria via LeMat-Bulk).

Cell lengths 4.521, 4.521, 9.644 Å; angles 90.00, 90.00, 90.00 degrees
Space group I4/mmm (No. 139)
One atom of each set of equivalent atoms:
K: 0.000 0.000 0.000 x2
Cu: 0.000 0.000 0.500 x2
Sb: 0.000 0.500 0.250 x4

ΔE to the lowest computed polymorph	301	meV/atom
Fermi-level density of states	4.586	states/eV/cell
raw formation energy	117	kJ/mol of formula units


12.
# KCuSb

A relaxed KCuSb crystal (PBEsol, Alexandria via LeMat-Bulk).

Cell lengths 4.3258, 4.3258, 5.2905 Å; angles 90.00, 90.00, 120.00 degrees
Space group P-6m2 (No. 187)
One atom of each set of equivalent atoms:
K: 0.0000 0.0000 0.0000 x1
Cu: 0.6667 0.3333 0.5000 x1
Sb: 0.3333 0.6667 0.5000 x1

ΔE to the lowest computed polymorph	0	meV/atom
Fermi-level density of states	2.331	states/eV/cell
raw formation energy	-41	kJ/mol of formula units


Number 1: total DFT energy (no corrections) -4.28 eV per atom. Number 2: total DFT energy (no corrections) -3.84 eV per atom. Number 3: total DFT energy (no corrections) -4.40 eV per atom. Number 4: total DFT energy (no corrections) -2.81 eV per atom. Number 5: total DFT energy (no corrections) -4.00 eV per atom. Number 6: total DFT energy (no corrections) -4.17 eV per atom. Number 7: total DFT energy (no corrections) -4.44 eV per atom. Number 8: total DFT energy (no corrections) -5.31 eV per atom. Number 9: total DFT energy (no corrections) -5.94 eV per atom. Number 10: total DFT energy (no corrections) -3.13 eV per atom. Number 11: total DFT energy (no corrections) -3.34 eV per atom. Number 12: total DFT energy (no corrections) -3.48 eV per atom.